Crystalline LiTeMo2 at its relaxed geometry. Source: Alexandria via LeMat-Bulk, functional PBE.

Computed properties:
As for the space group: R-3m (166). The calculation puts the final energy at -5.988 eV/atom.

abc: 9.062 9.062 9.062
angles: 19.48 19.48 19.48
Element x y z (fractional)
Li1 0.750 0.750 0.750
Mo1 0.996 0.996 0.996
Mo2 0.504 0.504 0.504
Te1 0.250 0.250 0.250